# 1
Density functional theory data (GGA-PBE) for crystalline RbInPS2 at its relaxed geometry.

Properties
Distance to the lowest polymorph of the same formula (eV per atom): 0.000
Density of states at the Fermi level (states/eV per atom): 0.85
Space group: P4/mmm, No. 123
Total DFT energy (no corrections) (eV/cell): -16.94
Volume (Å³ per cell): 140.4
ΔE_f (raw) (kJ per mole of atoms): 8.2

Cell lengths 5.2520, 5.2520, 5.0902 Å; angles 90.00, 90.00, 90.00 degrees
Atoms (fractional coordinates):
1 Rb 0.5000 0.5000 0.5000
2 In 0.0000 0.0000 0.0000
3 S 0.0000 0.5000 0.0000
4 S 0.5000 0.0000 0.0000
5 P 0.0000 0.0000 0.5000

***

# 2
Density functional theory data (GGA-PBE) for crystalline LiTl2NiCl6 at its relaxed geometry.

Properties
Density of states at the Fermi level (states/eV per atom): 0.00
Space group: C2/m, No. 12
Total DFT energy (no corrections) (eV/cell): -32.73
Volume (Å³ per cell): 241.9
ΔE_f (raw) (kJ per mole of atoms): -89.0

Cell lengths 7.0016, 7.0014, 6.9867 Å; angles 59.95, 59.95, 89.98 degrees
Atoms (fractional coordinates):
1 Cl 0.7268 0.2731 0.0000
2 Cl 0.2739 0.2741 0.9984
3 Cl 0.7559 0.7559 0.4897
4 Cl 0.2441 0.2441 0.5103
5 Cl 0.2732 0.7269 0.0000
6 Cl 0.7261 0.7259 0.0016
7 Tl 0.7496 0.2502 0.5002
8 Tl 0.2504 0.7498 0.4998
9 Ni 0.5000 0.5000 0.0000
10 Li 0.0000 0.0000 0.0000

***

# 3
Density functional theory data (GGA-PBE) for crystalline Zr2NpN4 at its relaxed geometry.

Properties
Distance to the lowest polymorph of the same formula (eV per atom): 0.248
Density of states at the Fermi level (states/eV per atom): 0.94
Space group: R-3m, No. 166
Total DFT energy (no corrections) (eV/cell): -71.27
Volume (Å³ per cell): 96.5
ΔE_f (raw) (kJ per mole of atoms): -109.4

Cell lengths 3.5182, 3.5182, 9.2325 Å; angles 79.02, 79.02, 60.00 degrees
Atoms (fractional coordinates):
1 Zr 0.6158 0.6158 0.1525
2 Zr 0.3842 0.3842 0.8475
3 N 0.6996 0.6996 0.9011
4 N 0.3004 0.3004 0.0989
5 N 0.1212 0.1212 0.6364
6 N 0.8788 0.8788 0.3636
7 Np 0.5000 0.5000 0.5000

***

# 4
Density functional theory data (GGA-PBE) for crystalline SiAs2Os at its relaxed geometry.

Properties
Density of states at the Fermi level (states/eV per atom): 0.59
Space group: R-3m, No. 166
Total DFT energy (no corrections) (eV/cell): -24.38
Volume (Å³ per cell): 68.3
ΔE_f (raw) (kJ per mole of atoms): 37.8

Cell lengths 8.7346, 8.7346, 8.7346 Å; angles 20.01, 20.01, 20.01 degrees
Atoms (fractional coordinates):
1 Os 0.2500 0.2500 0.2500
2 As 0.9896 0.9896 0.9896
3 As 0.5104 0.5104 0.5104
4 Si 0.7500 0.7500 0.7500

***

# 5
Density functional theory data (GGA-PBE) for crystalline NpH8PtRh2 at its relaxed geometry.

Properties
Density of states at the Fermi level (states/eV per atom): 1.06
Space group: R-3, No. 148
Total DFT energy (no corrections) (eV/cell): -60.94
Volume (Å³ per cell): 106.6

Cell lengths 4.7121, 4.7121, 6.1735 Å; angles 67.56, 67.56, 60.00 degrees
Atoms (fractional coordinates):
1 Rh 0.2782 0.2782 0.1654
2 Rh 0.7218 0.7218 0.8346
3 Np 0.5000 0.5000 0.5000
4 H 0.2845 0.9079 0.1692
5 H 0.7155 0.0921 0.8308
6 H 0.8203 0.8203 0.5391
7 H 0.9079 0.6384 0.1692
8 H 0.1797 0.1797 0.4609
9 H 0.6384 0.2845 0.1692
10 H 0.0921 0.3616 0.8308
11 H 0.3616 0.7155 0.8308
12 Pt 0.0000 0.0000 0.0000

***

# 6
Density functional theory data (GGA-PBE) for crystalline Cu7Pt4Rh at its relaxed geometry.

Properties
Density of states at the Fermi level (states/eV per atom): 0.79
Formation energy from the elements (eV/atom): -0.10
Space group: P-3m1, No. 164
Total DFT energy (no corrections) (eV/cell): -61.34
Volume (Å³ per cell): 163.8

Cell lengths 2.7118, 2.7118, 25.7238 Å; angles 90.00, 90.00, 120.00 degrees
Atoms (fractional coordinates):
1 Rh 0.0000 0.0000 0.5000
2 Cu 0.6667 0.3333 0.8302
3 Cu 0.0000 0.0000 0.7529
4 Cu 0.3333 0.6667 0.4176
5 Cu 0.6667 0.3333 0.5824
6 Cu 0.0000 0.0000 0.2471
7 Cu 0.0000 0.0000 0.0000
8 Cu 0.3333 0.6667 0.1698
9 Pt 0.3333 0.6667 0.6677
10 Pt 0.3333 0.6667 0.9153
11 Pt 0.6667 0.3333 0.3323
12 Pt 0.6667 0.3333 0.0847

***

Question: Among the records above, which one has the lowest total DFT energy (no corrections)?
Answer: Zr2NpN4

***

Question: What is the density of states at the Fermi level in the sixth record?
Answer: 0.79 states/eV per atom